## Dy4YNi4 (GGA-PBE)

Data for a geometry-optimized Dy4YNi4 structure.

CIF file:
```
data_Dy4YNi4
_cell_length_a 8.5508
_cell_length_b 8.5508
_cell_length_c 5.5953
_cell_angle_alpha 90.00
_cell_angle_beta 90.00
_cell_angle_gamma 90.00
_symmetry_space_group_name_H-M 'P 42/n'
_symmetry_Int_Tables_number 86
loop_
_symmetry_equiv_pos_as_xyz
'x,y,z'
'-x,-y,-z'
'-y,x+1/2,z+1/2'
'y,-x+1/2,-z+1/2'
'-x+1/2,-y+1/2,z'
'x+1/2,y+1/2,-z'
'y+1/2,-x,z+1/2'
'-y+1/2,x,-z+1/2'
loop_
_atom_site_label
_atom_site_type_symbol
_atom_site_fract_x
_atom_site_fract_y
_atom_site_fract_z
Dy1 Dy 0.0675 0.6627 0.1500
Y1 Y 0.2500 0.2500 0.2500
Ni1 Ni 0.0268 0.6158 0.6359
```

Volume = 22.728 Å³/atom
DOS(E_F) = 0.8117 states/eV/atom
Total energy = -5.594 eV/atom

---

## Pm2Y5Ho2 (GGA-PBE)

Data for a geometry-optimized Pm2Y5Ho2 structure.

CIF file:
```
data_Pm2Y5Ho2
_cell_length_a 14.9837
_cell_length_b 11.7451
_cell_length_c 6.8186
_cell_angle_alpha 90.00
_cell_angle_beta 90.00
_cell_angle_gamma 90.00
_symmetry_space_group_name_H-M 'I m a 2'
_symmetry_Int_Tables_number 46
_symmetry_space_group_name_Hall 'I 2 -2a'
loop_
_atom_site_label
_atom_site_type_symbol
_atom_site_fract_x
_atom_site_fract_y
_atom_site_fract_z
Pm1 Pm 0.1278 0.0048 0.0000
Y1 Y 0.0526 0.2425 0.6485
Y2 Y 0.1433 0.7367 0.8268
Y3 Y 0.2500 0.2465 0.3479
Ho1 Ho 0.0000 0.0000 0.4464
Ho2 Ho 0.2500 0.5134 0.0559
```

Volume = 33.332 Å³/atom
Relative energy among the computed polymorphs = 0.2076 eV per atom
DOS(E_F) = 1.7892 states/eV/atom
Total energy = -5.436 eV/atom

---

## TbPr4Pb2 (GGA-PBE)

Data for a geometry-optimized TbPr4Pb2 structure.

CIF file:
```
data_TbPr4Pb2
_cell_length_a 5.6032
_cell_length_b 5.6032
_cell_length_c 28.2109
_cell_angle_alpha 90.00
_cell_angle_beta 90.00
_cell_angle_gamma 120.00
_symmetry_space_group_name_H-M 'R -3 m'
_symmetry_Int_Tables_number 166
_symmetry_space_group_name_Hall '-R 3 2"'
loop_
_atom_site_label
_atom_site_type_symbol
_atom_site_fract_x
_atom_site_fract_y
_atom_site_fract_z
Tb1 Tb 0.0000 0.0000 0.0000
Pr1 Pr 0.0000 0.0000 0.2236
Pr2 Pr 0.0000 0.0000 0.3727
Pb1 Pb 0.0000 0.0000 0.1088
```

Volume = 36.526 Å³/atom
DOS(E_F) = 1.2992 states/eV/atom
Total energy = -4.611 eV/atom